AgSb2Pt: relaxed, GGA-PBE.

## Properties
formation energy (no corrections) = -0.0987 eV/atom
energy relative to the lowest polymorph listed for this composition = 46 meV per atom
total moment = 0.00 Bohr magnetons per cell

Geometry as CIF:
```
data_AgSb2Pt
_cell_length_a 4.995
_cell_length_b 4.708
_cell_length_c 8.426
_cell_angle_alpha 90.00
_cell_angle_beta 90.00
_cell_angle_gamma 90.00
_space_group_name_H-M_alt 'A m m 2'
_space_group_IT_number 38
_space_group_name_Hall 'A 2 -2'
loop_
_atom_site_label
_atom_site_type_symbol
_atom_site_fract_x
_atom_site_fract_y
_atom_site_fract_z
Ag1 Ag 0.000 0.000 0.000
Sb1 Sb 0.000 0.000 0.322
Sb2 Sb 0.500 0.000 0.835
Pt1 Pt 0.500 0.000 0.172
```

Ag2SbPt: relaxed, GGA-PBE.

## Properties
formation energy (no corrections) = 0.0380 eV/atom
total moment = 0.00 Bohr magnetons per cell

Geometry as CIF:
```
data_Ag2SbPt
_cell_length_a 3.243
_cell_length_b 5.083
_cell_length_c 4.692
_cell_angle_alpha 90.00
_cell_angle_beta 91.19
_cell_angle_gamma 90.00
_space_group_name_H-M_alt 'P 1 2/m 1'
_space_group_IT_number 10
_space_group_name_Hall '-P 2y'
loop_
_atom_site_label
_atom_site_type_symbol
_atom_site_fract_x
_atom_site_fract_y
_atom_site_fract_z
Ag1 Ag 0.248 0.000 0.245
Sb1 Sb 0.000 0.500 0.500
Pt1 Pt 0.500 0.500 0.000
```

AgSb2Pt2: relaxed, GGA-PBE.

## Properties
formation energy (no corrections) = 0.0151 eV/atom
energy relative to the lowest polymorph listed for this composition = 172 meV per atom
total moment = 0.00 Bohr magnetons per cell

Geometry as CIF:
```
data_AgSb2Pt2
_cell_length_a 4.770
_cell_length_b 4.770
_cell_length_c 10.210
_cell_angle_alpha 90.00
_cell_angle_beta 90.00
_cell_angle_gamma 90.00
_space_group_name_H-M_alt 'I 4/m m m'
_space_group_IT_number 139
_space_group_name_Hall '-I 4 2'
loop_
_atom_site_label
_atom_site_type_symbol
_atom_site_fract_x
_atom_site_fract_y
_atom_site_fract_z
Ag1 Ag 0.000 0.000 0.000
Sb1 Sb 0.000 0.000 0.362
Pt1 Pt 0.000 0.500 0.250
```

Ag2SbPt: relaxed, GGA-PBE.

## Properties
formation energy (no corrections) = 0.2187 eV/atom
total moment = 0.69 Bohr magnetons per cell

Geometry as CIF:
```
data_Ag2SbPt
_cell_length_a 3.0940
_cell_length_b 3.0940
_cell_length_c 28.2148
_cell_angle_alpha 90.00
_cell_angle_beta 90.00
_cell_angle_gamma 120.00
_space_group_name_H-M_alt 'R -3 m'
_space_group_IT_number 166
_space_group_name_Hall '-R 3 2"'
loop_
_atom_site_label
_atom_site_type_symbol
_atom_site_fract_x
_atom_site_fract_y
_atom_site_fract_z
Ag1 Ag 0.0000 0.0000 0.2450
Sb1 Sb 0.0000 0.0000 0.0000
Pt1 Pt 0.0000 0.0000 0.5000
```

Ag2SbPt: relaxed, GGA-PBE.

## Properties
formation energy (no corrections) = -0.0281 eV/atom
total moment = 0.00 Bohr magnetons per cell

Geometry as CIF:
```
data_Ag2SbPt
_cell_length_a 4.044
_cell_length_b 4.044
_cell_length_c 4.568
_cell_angle_alpha 90.00
_cell_angle_beta 90.00
_cell_angle_gamma 90.00
_space_group_name_H-M_alt 'P 4/m m m'
_space_group_IT_number 123
_space_group_name_Hall '-P 4 2'
loop_
_atom_site_label
_atom_site_type_symbol
_atom_site_fract_x
_atom_site_fract_y
_atom_site_fract_z
Ag1 Ag 0.000 0.500 0.000
Sb1 Sb 0.000 0.000 0.500
Pt1 Pt 0.500 0.500 0.500
```

AgSb2Pt2: relaxed, GGA-PBE.

## Properties
formation energy (no corrections) = 0.0497 eV/atom
energy relative to the lowest polymorph listed for this composition = 207 meV per atom
total moment = 0.00 Bohr magnetons per cell

Geometry as CIF:
```
data_AgSb2Pt2
_cell_length_a 4.769
_cell_length_b 4.769
_cell_length_c 10.254
_cell_angle_alpha 90.00
_cell_angle_beta 90.00
_cell_angle_gamma 90.00
_space_group_name_H-M_alt 'I 4/m m m'
_space_group_IT_number 139
_space_group_name_Hall '-I 4 2'
loop_
_atom_site_label
_atom_site_type_symbol
_atom_site_fract_x
_atom_site_fract_y
_atom_site_fract_z
Ag1 Ag 0.000 0.000 0.000
Sb1 Sb 0.000 0.500 0.250
Pt1 Pt 0.000 0.000 0.371
```

AgSb2Pt: relaxed, GGA-PBE.

## Properties
formation energy (no corrections) = 0.0354 eV/atom
energy relative to the lowest polymorph listed for this composition = 180 meV per atom
total moment = 0.00 Bohr magnetons per cell

Geometry as CIF:
```
data_AgSb2Pt
_cell_length_a 6.213
_cell_length_b 7.304
_cell_length_c 3.720
_cell_angle_alpha 90.00
_cell_angle_beta 90.20
_cell_angle_gamma 90.00
_space_group_name_H-M_alt 'C 1 2/m 1'
_space_group_IT_number 12
_space_group_name_Hall '-C 2y'
loop_
_atom_site_label
_atom_site_type_symbol
_atom_site_fract_x
_atom_site_fract_y
_atom_site_fract_z
Ag1 Ag 0.000 0.000 0.000
Sb1 Sb 0.250 0.250 0.500
Pt1 Pt 0.000 0.500 0.000
```

AgSb2Pt: relaxed, GGA-PBE.

## Properties
formation energy (no corrections) = -0.0236 eV/atom
energy relative to the lowest polymorph listed for this composition = 121 meV per atom
total moment = 0.00 Bohr magnetons per cell

Geometry as CIF:
```
data_AgSb2Pt
_cell_length_a 3.300
_cell_length_b 4.136
_cell_length_c 13.472
_cell_angle_alpha 90.00
_cell_angle_beta 90.00
_cell_angle_gamma 90.00
_space_group_name_H-M_alt 'I m m 2'
_space_group_IT_number 44
_space_group_name_Hall 'I 2 -2'
loop_
_atom_site_label
_atom_site_type_symbol
_atom_site_fract_x
_atom_site_fract_y
_atom_site_fract_z
Ag1 Ag 0.000 0.000 0.000
Sb1 Sb 0.000 0.000 0.390
Sb2 Sb 0.000 0.500 0.159
Pt1 Pt 0.000 0.500 0.726
```

AgSb2Pt: relaxed, GGA-PBE.

## Properties
formation energy (no corrections) = -0.0329 eV/atom
energy relative to the lowest polymorph listed for this composition = 112 meV per atom
total moment = 0.00 Bohr magnetons per cell

Geometry as CIF:
```
data_AgSb2Pt
_cell_length_a 8.487
_cell_length_b 3.651
_cell_length_c 6.790
_cell_angle_alpha 90.00
_cell_angle_beta 114.81
_cell_angle_gamma 90.00
_space_group_name_H-M_alt 'C 1 m 1'
_space_group_IT_number 8
_space_group_name_Hall 'C -2y'
loop_
_atom_site_label
_atom_site_type_symbol
_atom_site_fract_x
_atom_site_fract_y
_atom_site_fract_z
Ag1 Ag 0.000 0.000 0.000
Sb1 Sb 0.276 0.500 0.181
Sb2 Sb 0.466 0.000 0.614
Pt1 Pt 0.223 0.000 0.792
```

AgSb2Pt: relaxed, GGA-PBE.

## Properties
formation energy (no corrections) = -0.0767 eV/atom
energy relative to the lowest polymorph listed for this composition = 68 meV per atom
total moment = 0.00 Bohr magnetons per cell

Geometry as CIF:
```
data_AgSb2Pt
_cell_length_a 3.417
_cell_length_b 4.534
_cell_length_c 12.073
_cell_angle_alpha 90.00
_cell_angle_beta 90.00
_cell_angle_gamma 90.00
_space_group_name_H-M_alt 'I m m m'
_space_group_IT_number 71
_space_group_name_Hall '-I 2 2'
loop_
_atom_site_label
_atom_site_type_symbol
_atom_site_fract_x
_atom_site_fract_y
_atom_site_fract_z
Ag1 Ag 0.000 0.000 0.000
Sb1 Sb 0.000 0.500 0.175
Pt1 Pt 0.000 0.000 0.500
```

AgSbPt4: relaxed, GGA-PBE.

## Properties
formation energy (no corrections) = -0.0090 eV/atom
total moment = 0.00 Bohr magnetons per cell

Geometry as CIF:
```
data_AgSbPt4
_cell_length_a 7.587
_cell_length_b 7.587
_cell_length_c 7.587
_cell_angle_alpha 90.00
_cell_angle_beta 90.00
_cell_angle_gamma 90.00
_space_group_name_H-M_alt 'F -4 3 m'
_space_group_IT_number 216
_space_group_name_Hall 'F -4 2 3'
loop_
_atom_site_label
_atom_site_type_symbol
_atom_site_fract_x
_atom_site_fract_y
_atom_site_fract_z
Ag1 Ag 0.000 0.000 0.000
Sb1 Sb 0.250 0.250 0.250
Pt1 Pt 0.125 0.125 0.625
```

AgSbPt14: relaxed, GGA-PBE.

## Properties
formation energy (no corrections) = -0.0321 eV/atom
total moment = 0.00 Bohr magnetons per cell

Geometry as CIF:
```
data_AgSbPt14
_cell_length_a 9.660
_cell_length_b 5.574
_cell_length_c 9.652
_cell_angle_alpha 90.00
_cell_angle_beta 90.00
_cell_angle_gamma 90.00
_space_group_name_H-M_alt 'A m m 2'
_space_group_IT_number 38
_space_group_name_Hall 'A 2 -2'
loop_
_atom_site_label
_atom_site_type_symbol
_atom_site_fract_x
_atom_site_fract_y
_atom_site_fract_z
Ag1 Ag 0.000 0.000 0.000
Sb1 Sb 0.000 0.000 0.500
Pt1 Pt 0.000 0.250 0.250
Pt2 Pt 0.251 0.000 0.246
Pt3 Pt 0.251 0.000 0.753
Pt4 Pt 0.251 0.247 0.500
Pt5 Pt 0.500 0.000 0.499
Pt6 Pt 0.500 0.000 0.999
Pt7 Pt 0.500 0.250 0.249
```

AgSb2Pt: relaxed, GGA-PBE.

## Properties
formation energy (no corrections) = 0.0309 eV/atom
energy relative to the lowest polymorph listed for this composition = 176 meV per atom
total moment = 0.00 Bohr magnetons per cell

Geometry as CIF:
```
data_AgSb2Pt
_cell_length_a 4.794
_cell_length_b 4.794
_cell_length_c 16.889
_cell_angle_alpha 90.00
_cell_angle_beta 90.00
_cell_angle_gamma 90.00
_space_group_name_H-M_alt 'I -4 2 d'
_space_group_IT_number 122
_space_group_name_Hall 'I -4 2bw'
loop_
_atom_site_label
_atom_site_type_symbol
_atom_site_fract_x
_atom_site_fract_y
_atom_site_fract_z
Ag1 Ag 0.000 0.000 0.000
Sb1 Sb 0.230 0.250 0.625
Pt1 Pt 0.000 0.000 0.500
```

AgSb2Pt: relaxed, GGA-PBE.

## Properties
formation energy (no corrections) = -0.0391 eV/atom
energy relative to the lowest polymorph listed for this composition = 106 meV per atom
total moment = 0.00 Bohr magnetons per cell

Geometry as CIF:
```
data_AgSb2Pt
_cell_length_a 3.354
_cell_length_b 3.354
_cell_length_c 8.007
_cell_angle_alpha 90.00
_cell_angle_beta 90.00
_cell_angle_gamma 90.00
_space_group_name_H-M_alt 'P 4 m m'
_space_group_IT_number 99
_space_group_name_Hall 'P 4 -2'
loop_
_atom_site_label
_atom_site_type_symbol
_atom_site_fract_x
_atom_site_fract_y
_atom_site_fract_z
Ag1 Ag 0.000 0.000 0.000
Sb1 Sb 0.000 0.000 0.396
Sb2 Sb 0.500 0.500 0.775
Pt1 Pt 0.500 0.500 0.220
```

Ag2Sb2Pt: relaxed, GGA-PBE.

## Properties
formation energy (no corrections) = 0.0709 eV/atom
total moment = 0.00 Bohr magnetons per cell

Geometry as CIF:
```
data_Ag2Sb2Pt
_cell_length_a 7.015
_cell_length_b 7.015
_cell_length_c 4.581
_cell_angle_alpha 90.00
_cell_angle_beta 90.00
_cell_angle_gamma 90.00
_space_group_name_H-M_alt 'P 4/m b m'
_space_group_IT_number 127
_space_group_name_Hall '-P 4 2ab'
loop_
_atom_site_label
_atom_site_type_symbol
_atom_site_fract_x
_atom_site_fract_y
_atom_site_fract_z
Ag1 Ag 0.153 0.347 0.000
Sb1 Sb 0.153 0.653 0.500
Pt1 Pt 0.000 0.000 0.500
```

Ag2SbPt: relaxed, GGA-PBE.

## Properties
formation energy (no corrections) = 0.0303 eV/atom
total moment = 0.00 Bohr magnetons per cell

Geometry as CIF:
```
data_Ag2SbPt
_cell_length_a 5.632
_cell_length_b 10.158
_cell_length_c 3.560
_cell_angle_alpha 90.00
_cell_angle_beta 129.08
_cell_angle_gamma 90.00
_space_group_name_H-M_alt 'C 1 2/m 1'
_space_group_IT_number 12
_space_group_name_Hall '-C 2y'
loop_
_atom_site_label
_atom_site_type_symbol
_atom_site_fract_x
_atom_site_fract_y
_atom_site_fract_z
Ag1 Ag 0.250 0.250 0.000
Sb1 Sb 0.000 0.000 0.000
Pt1 Pt 0.000 0.500 0.000
```

Ag2SbPt: relaxed, GGA-PBE.

## Properties
formation energy (no corrections) = 0.1427 eV/atom
total moment = 0.00 Bohr magnetons per cell

Geometry as CIF:
```
data_Ag2SbPt
_cell_length_a 3.054
_cell_length_b 3.054
_cell_length_c 8.399
_cell_angle_alpha 90.00
_cell_angle_beta 90.00
_cell_angle_gamma 90.00
_space_group_name_H-M_alt 'P 4/m m m'
_space_group_IT_number 123
_space_group_name_Hall '-P 4 2'
loop_
_atom_site_label
_atom_site_type_symbol
_atom_site_fract_x
_atom_site_fract_y
_atom_site_fract_z
Ag1 Ag 0.000 0.000 0.221
Sb1 Sb 0.500 0.500 0.500
Pt1 Pt 0.500 0.500 0.000
```

AgSb2Pt2: relaxed, GGA-PBE.

## Properties
formation energy (no corrections) = -0.1569 eV/atom
energy relative to the lowest polymorph listed for this composition = 0 meV per atom
total moment = 0.00 Bohr magnetons per cell

Geometry as CIF:
```
data_AgSb2Pt2
_cell_length_a 7.451
_cell_length_b 7.451
_cell_length_c 3.658
_cell_angle_alpha 90.00
_cell_angle_beta 90.00
_cell_angle_gamma 90.00
_space_group_name_H-M_alt 'P 4/m b m'
_space_group_IT_number 127
_space_group_name_Hall '-P 4 2ab'
loop_
_atom_site_label
_atom_site_type_symbol
_atom_site_fract_x
_atom_site_fract_y
_atom_site_fract_z
Ag1 Ag 0.000 0.000 0.000
Sb1 Sb 0.165 0.335 0.500
Pt1 Pt 0.137 0.637 0.000
```

AgSb2Pt: relaxed, GGA-PBE.

## Properties
formation energy (no corrections) = 0.0387 eV/atom
energy relative to the lowest polymorph listed for this composition = 184 meV per atom
total moment = 0.00 Bohr magnetons per cell

Geometry as CIF:
```
data_AgSb2Pt
_cell_length_a 3.840
_cell_length_b 4.681
_cell_length_c 4.694
_cell_angle_alpha 90.00
_cell_angle_beta 90.00
_cell_angle_gamma 90.00
_space_group_name_H-M_alt 'P m m m'
_space_group_IT_number 47
_space_group_name_Hall '-P 2 2'
loop_
_atom_site_label
_atom_site_type_symbol
_atom_site_fract_x
_atom_site_fract_y
_atom_site_fract_z
Ag1 Ag 0.000 0.000 0.000
Sb1 Sb 0.500 0.000 0.500
Sb2 Sb 0.500 0.500 0.000
Pt1 Pt 0.000 0.500 0.500
```

AgSb2Pt: relaxed, GGA-PBE.

## Properties
formation energy (no corrections) = 0.0149 eV/atom
energy relative to the lowest polymorph listed for this composition = 160 meV per atom
total moment = 0.00 Bohr magnetons per cell

Geometry as CIF:
```
data_AgSb2Pt
_cell_length_a 3.569
_cell_length_b 3.730
_cell_length_c 6.404
_cell_angle_alpha 90.00
_cell_angle_beta 90.63
_cell_angle_gamma 90.00
_space_group_name_H-M_alt 'P 1 2/m 1'
_space_group_IT_number 10
_space_group_name_Hall '-P 2y'
loop_
_atom_site_label
_atom_site_type_symbol
_atom_site_fract_x
_atom_site_fract_y
_atom_site_fract_z
Ag1 Ag 0.000 0.000 0.000
Sb1 Sb 0.480 0.500 0.732
Pt1 Pt 0.000 0.000 0.500
```